A plane-wave DFT calculation with PBE-GGA was carried out for a relaxed structure of Y4Er7Th.

a = 5.893 Å, b = 11.467 Å, c = 6.707 Å
α = 83.80°, β = 63.94°, γ = 75.11°
Fractional positions:
Y  0.635  0.224  0.505
Y  0.365  0.776  0.495
Y  0.753  0.681  0.812
Y  0.247  0.319  0.188
Er  0.786  0.923  0.504
Er  0.214  0.077  0.496
Er  0.061  0.676  0.202
Er  0.939  0.324  0.798
Er  0.367  0.501  0.766
Er  0.500  0.000  0.000
Er  0.633  0.499  0.234
Th  0.000  0.000  0.000

Computed properties:
Its symmetry is C2/m, No. 12. For the energy of formation from the pure elements, the calculation gives 363.1 kJ/mol of formula units. The calculation puts the total energy at -5.121 eV/atom.